No. 1
# La7DyHo2

A geometry-optimized La7DyHo2 structure (PBE, Alexandria via LeMat-Bulk).

a b c (Å): 12.2230 17.1020 3.5382
angles (deg): 90.00 90.00 90.00
Space group Cmmm (No. 65)
Symmetry-distinct sites (fractional):
La 0.0000 0.0000 0.0000 (multiplicity 2)
La 0.0000 0.1803 0.5000 (multiplicity 4)
La 0.2450 0.1298 0.0000 (multiplicity 8)
Dy 0.0000 0.5000 0.5000 (multiplicity 2)
Ho 0.0000 0.3355 0.0000 (multiplicity 4)

Output
Energy of formation in eV/f.u.: 3.3

No. 2
# RbLiPaI6

A geometry-optimized RbLiPaI6 structure (PBE, Alexandria via LeMat-Bulk).

a b c (Å): 7.8386 7.8386 16.6030
angles (deg): 90.00 90.00 120.00
Space group P-31c (No. 163)
Symmetry-distinct sites (fractional):
Rb 0.0000 0.0000 0.0000 (multiplicity 2)
Li 0.3333 0.6667 0.2500 (multiplicity 2)
Pa 0.3333 0.6667 0.7500 (multiplicity 2)
I 0.9999 0.3655 0.1446 (multiplicity 12)

Output
ΔE_f (raw) in eV per atom: -1.14

No. 3
# BaSn12Hg4

A geometry-optimized BaSn12Hg4 structure (PBE, Alexandria via LeMat-Bulk).

a b c (Å): 10.0825 10.0825 10.0825
angles (deg): 90.00 90.00 90.00
Space group Im-3 (No. 204)
Symmetry-distinct sites (fractional):
Ba 0.0000 0.0000 0.0000 (multiplicity 2)
Sn 0.0000 0.3561 0.1505 (multiplicity 24)
Hg 0.2500 0.2500 0.2500 (multiplicity 8)

Output
Energy of formation in eV/f.u.: -0.2

No. 4
# Rb2PdRhI6

A geometry-optimized Rb2PdRhI6 structure (PBE, Alexandria via LeMat-Bulk).

a b c (Å): 7.9539 7.9539 11.2006
angles (deg): 90.00 90.00 90.00
Space group I4/mmm (No. 139)
Symmetry-distinct sites (fractional):
Rb 0.0000 0.5000 0.2500 (multiplicity 4)
Pd 0.0000 0.0000 0.0000 (multiplicity 2)
Rh 0.0000 0.0000 0.5000 (multiplicity 2)
I 0.0000 0.0000 0.2534 (multiplicity 4)
I 0.2455 0.2455 0.5000 (multiplicity 8)

Output
ΔE_f (raw) in eV per atom: -0.63

No. 5
# Ba2CdTe

A geometry-optimized Ba2CdTe structure (PBE, Alexandria via LeMat-Bulk).

a b c (Å): 4.8688 4.8688 26.7172
angles (deg): 90.00 90.00 120.00
Space group R-3m (No. 166, hexagonal axes)
Symmetry-distinct sites (fractional):
Ba 0.0000 0.0000 0.2441 (multiplicity 6)
Cd 0.0000 0.0000 0.0000 (multiplicity 3)
Te 0.0000 0.0000 0.5000 (multiplicity 3)

Output
ΔE_f (raw) in eV per atom: -0.89

No. 6
# LaNiOs2

A geometry-optimized LaNiOs2 structure (PBE, Alexandria via LeMat-Bulk).

a b c (Å): 2.9686 2.9686 7.7046
angles (deg): 90.00 90.00 90.00
Space group P4/mmm (No. 123)
Symmetry-distinct sites (fractional):
La 0.0000 0.0000 0.0000 (multiplicity 1)
Ni 0.0000 0.0000 0.5000 (multiplicity 1)
Os 0.5000 0.5000 0.3164 (multiplicity 2)

Output
Energy of formation in eV/f.u.: 1.9

No. 7
# NdSm2I

A geometry-optimized NdSm2I structure (PBE, Alexandria via LeMat-Bulk).

a b c (Å): 3.6594 3.6594 35.6776
angles (deg): 90.00 90.00 120.00
Space group R-3m (No. 166, hexagonal axes)
Symmetry-distinct sites (fractional):
Nd 0.0000 0.0000 0.0000 (multiplicity 3)
Sm 0.0000 0.0000 0.0959 (multiplicity 6)
I 0.0000 0.0000 0.5000 (multiplicity 3)

Output
ΔE_f (raw) in eV per atom: -0.11

No. 8
# KDyIrO6

A geometry-optimized KDyIrO6 structure (PBE, Alexandria via LeMat-Bulk).

a b c (Å): 5.6234 5.6234 5.8048
angles (deg): 90.00 90.00 120.00
Space group P312 (No. 149)
Symmetry-distinct sites (fractional):
K 0.0000 0.0000 0.0000 (multiplicity 1)
Dy 0.3333 0.6667 0.5000 (multiplicity 1)
Ir 0.6667 0.3333 0.5000 (multiplicity 1)
O 0.4018 0.0463 0.6872 (multiplicity 6)

Output
ΔE_f (raw) in eV per atom: -1.47

No. 9
# Tb3Cd2In

A geometry-optimized Tb3Cd2In structure (PBE, Alexandria via LeMat-Bulk).

a b c (Å): 5.3279 16.0284 3.7525
angles (deg): 90.00 90.00 90.00
Space group Cmmm (No. 65)
Symmetry-distinct sites (fractional):
Tb 0.0000 0.0000 0.0000 (multiplicity 2)
Tb 0.0000 0.3328 0.0000 (multiplicity 4)
Cd 0.0000 0.1691 0.5000 (multiplicity 4)
In 0.0000 0.5000 0.5000 (multiplicity 2)

Output
Energy of formation in eV/f.u.: -2.3

No. 10
# KLiPtPb2

A geometry-optimized KLiPtPb2 structure (PBE, Alexandria via LeMat-Bulk).

a b c (Å): 5.4291 5.4291 5.2125
angles (deg): 90.00 90.00 90.00
Space group P4/mmm (No. 123)
Symmetry-distinct sites (fractional):
K 0.0000 0.0000 0.0000 (multiplicity 1)
Li 0.5000 0.5000 0.0000 (multiplicity 1)
Pt 0.5000 0.5000 0.5000 (multiplicity 1)
Pb 0.0000 0.5000 0.5000 (multiplicity 2)

Output
Energy of formation in eV/f.u.: -0.7

No. 11
# NaCd7In12

A geometry-optimized NaCd7In12 structure (PBE, Alexandria via LeMat-Bulk).

a b c (Å): 10.8540 10.8540 10.8540
angles (deg): 90.00 90.00 90.00
Space group Im-3 (No. 204)
Symmetry-distinct sites (fractional):
Na 0.0000 0.0000 0.0000 (multiplicity 2)
Cd 0.0000 0.0000 0.5000 (multiplicity 6)
Cd 0.2500 0.2500 0.2500 (multiplicity 8)
In 0.0000 0.1481 0.2671 (multiplicity 24)

Output
Energy of formation in eV/f.u.: 3.5

No. 12
# SbP2Rh

A geometry-optimized SbP2Rh structure (PBE, Alexandria via LeMat-Bulk).

a b c (Å): 7.5991 3.7868 5.5082
angles (deg): 90.00 101.83 90.00
Space group Cm (No. 8)
Symmetry-distinct sites (fractional):
Sb 0.0000 0.0000 0.0000 (multiplicity 2)
P 0.2838 0.0000 0.6423 (multiplicity 2)
P 0.4274 0.0000 0.3539 (multiplicity 2)
Rh 0.2228 0.5000 0.3044 (multiplicity 2)

Output
ΔE_f (raw) in eV per atom: -0.09

No. 13
# RbAsI3

A geometry-optimized RbAsI3 structure (PBE, Alexandria via LeMat-Bulk).

a b c (Å): 9.6815 10.0381 10.0521
angles (deg): 90.00 95.88 90.00
Space group P2_1/c (No. 14)
Symmetry-distinct sites (fractional):
Rb 0.0602 0.0194 0.2522 (multiplicity 4)
As 0.4828 0.6133 0.5484 (multiplicity 4)
I 0.1003 0.7437 0.0116 (multiplicity 4)
I 0.2507 0.1773 0.9550 (multiplicity 4)
I 0.4814 0.5150 0.7891 (multiplicity 4)

Output
ΔE_f (raw) in eV per atom: -0.66

No. 14
# PuHfOs

A geometry-optimized PuHfOs structure (PBE, Alexandria via LeMat-Bulk).

a b c (Å): 7.9219 4.0963 8.1347
angles (deg): 90.00 90.00 90.00
Space group Pnma (No. 62)
Symmetry-distinct sites (fractional):
Pu 0.0354 0.2500 0.1550 (multiplicity 4)
Hf 0.1402 0.2500 0.5606 (multiplicity 4)
Os 0.1921 0.7500 0.3555 (multiplicity 4)

Output
Energy of formation in eV/f.u.: -0.5

No. 15
# Ga2Fe3

A geometry-optimized Ga2Fe3 structure (PBE, Alexandria via LeMat-Bulk).

a b c (Å): 4.1106 4.1106 12.9558
angles (deg): 90.00 90.00 120.00
Space group R-3m (No. 166, hexagonal axes)
Symmetry-distinct sites (fractional):
Ga 0.0000 0.0000 0.1013 (multiplicity 6)
Fe 0.0000 0.0000 0.3093 (multiplicity 6)
Fe 0.0000 0.0000 0.5000 (multiplicity 3)

Output
Energy of formation in eV/f.u.: -0.5

No. 16
# AgAs3Se4

A geometry-optimized AgAs3Se4 structure (PBE, Alexandria via LeMat-Bulk).

a b c (Å): 10.7923 6.9472 5.6706
angles (deg): 90.00 90.00 90.00
Space group Pmn2_1 (No. 31)
Symmetry-distinct sites (fractional):
Ag 0.0000 0.2239 0.0000 (multiplicity 2)
As 0.0000 0.8949 0.5079 (multiplicity 2)
As 0.2414 0.6821 0.0425 (multiplicity 4)
Se 0.0000 0.2390 0.5148 (multiplicity 2)
Se 0.0000 0.8226 0.0873 (multiplicity 2)
Se 0.2437 0.3358 0.0400 (multiplicity 4)

Output
ΔE_f (raw) in eV per atom: 0.03

No. 17
# LiHo3Tl6

A geometry-optimized LiHo3Tl6 structure (PBE, Alexandria via LeMat-Bulk).

a b c (Å): 11.9119 11.9119 7.2007
angles (deg): 90.00 90.00 120.00
Space group R3m (No. 160, hexagonal axes)
Symmetry-distinct sites (fractional):
Li 0.0000 0.0000 0.0000 (multiplicity 3)
Ho 0.1998 0.0999 0.6580 (multiplicity 9)
Tl 0.0244 0.5122 0.5534 (multiplicity 9)
Tl 0.0893 0.1786 0.3092 (multiplicity 9)

Output
Energy of formation in eV/f.u.: 0.0

No. 18
# LaMnRu2

A geometry-optimized LaMnRu2 structure (PBE, Alexandria via LeMat-Bulk).

a b c (Å): 2.9783 2.9783 27.0563
angles (deg): 90.00 90.00 120.00
Space group R-3m (No. 166, hexagonal axes)
Symmetry-distinct sites (fractional):
La 0.0000 0.0000 0.0000 (multiplicity 3)
Mn 0.0000 0.0000 0.5000 (multiplicity 3)
Ru 0.0000 0.0000 0.2368 (multiplicity 6)

Output
Energy of formation in eV/f.u.: 2.0

No. 19
# PuAlSnGe

A geometry-optimized PuAlSnGe structure (PBE, Alexandria via LeMat-Bulk).

a b c (Å): 4.2663 4.3064 4.6288
angles (deg): 90.00 90.00 90.00
Space group Pmmm (No. 47)
Symmetry-distinct sites (fractional):
Pu 0.0000 0.0000 0.0000 (multiplicity 1)
Al 0.5000 0.0000 0.5000 (multiplicity 1)
Sn 0.0000 0.5000 0.5000 (multiplicity 1)
Ge 0.5000 0.5000 0.0000 (multiplicity 1)

Output
Energy of formation in eV/f.u.: -1.3

No. 20
# HoAlCo

A geometry-optimized HoAlCo structure (PBE, Alexandria via LeMat-Bulk).

a b c (Å): 4.2354 4.2354 3.6306
angles (deg): 90.00 90.00 120.00
Space group P-6m2 (No. 187)
Symmetry-distinct sites (fractional):
Ho 0.0000 0.0000 0.0000 (multiplicity 1)
Al 0.6667 0.3333 0.5000 (multiplicity 1)
Co 0.3333 0.6667 0.5000 (multiplicity 1)

Output
Energy of formation in eV/f.u.: -0.9

No. 21
# Ca2Sb5Pd3

A geometry-optimized Ca2Sb5Pd3 structure (PBE, Alexandria via LeMat-Bulk).

a b c (Å): 4.5801 26.7028 7.6973
angles (deg): 90.00 90.00 90.00
Space group Cmc2_1 (No. 36)
Symmetry-distinct sites (fractional):
Ca 0.0000 0.0223 0.0000 (multiplicity 4)
Ca 0.0000 0.3287 0.9790 (multiplicity 4)
Sb 0.0000 0.0991 0.6347 (multiplicity 4)
Sb 0.0000 0.2040 0.1839 (multiplicity 4)
Sb 0.0000 0.2105 0.7601 (multiplicity 4)
Sb 0.0000 0.3823 0.5127 (multiplicity 4)
Sb 0.0000 0.4548 0.8280 (multiplicity 4)
Pd 0.0000 0.1045 0.2678 (multiplicity 4)
Pd 0.0000 0.2719 0.4671 (multiplicity 4)
Pd 0.0000 0.4480 0.2143 (multiplicity 4)

Output
ΔE_f (raw) in eV per atom: -0.60

No. 22
# TaAgSbO5

A geometry-optimized TaAgSbO5 structure (PBE, Alexandria via LeMat-Bulk).

a b c (Å): 7.5841 9.1430 7.9495
angles (deg): 90.00 117.56 90.00
Space group C2/c (No. 15)
Symmetry-distinct sites (fractional):
Ta 0.0000 0.0000 0.0000 (multiplicity 4)
Ag 0.0000 0.3160 0.2500 (multiplicity 4)
Sb 0.0000 0.3077 0.7500 (multiplicity 4)
O 0.0000 0.0030 0.7500 (multiplicity 4)
O 0.0496 0.2187 0.5346 (multiplicity 8)
O 0.2057 0.4588 0.8714 (multiplicity 8)

Output
ΔE_f (raw) in eV per atom: -1.61

So what do the calculations give for electronic total energy? Going down the list: -4.49, -3.55, -3.02, -3.01, -2.87, -7.82, -4.05, -6.39, -3.46, -3.43, -1.85, -5.66, -2.72, -12.00, -6.39, -3.81, -2.99, -7.65, -7.01, -5.45, -4.62, -7.07 eV/atom.